[1]
Material: ZnPt2W
Method: DFT, GGA-PBE
State: relaxed

a b c (Å): 9.050 2.781 4.941
angles (deg): 90.00 98.53 90.00
Space group C2/m (No. 12)
One atom of each set of equivalent atoms:
Zn 0.000 0.000 0.000 x2
Pt 0.249 0.000 0.746 x4
W 0.000 0.500 0.500 x2

## Properties
Magnetic moment   0.0 μB per cell
ΔH_f (0 K)   -0.127 eV per atom
DOS(E_F)   2.514 states/eV/f.u.
Raw total energy   -53.64 eV/cell

---

[2]
Material: Tb2Dy12Tm
Method: DFT, GGA-PBE
State: relaxed

a b c (Å): 7.074 11.126 24.225
angles (deg): 90.00 94.17 90.00
Space group C2/m (No. 12)
One atom of each set of equivalent atoms:
Tb 0.063 0.000 0.272 x4
Tb 0.070 0.500 0.272 x4
Dy 0.017 0.250 0.073 x8
Dy 0.112 0.251 0.445 x8
Dy 0.142 0.000 0.575 x4
Dy 0.144 0.500 0.573 x4
Dy 0.168 0.252 0.670 x8
Dy 0.202 0.244 0.799 x8
Dy 0.216 0.500 0.860 x4
Dy 0.218 0.000 0.868 x4
Tm 0.249 0.500 0.996 x4

## Properties
Magnetic moment   0.0 μB per cell
ΔH_f (0 K)   0.119 eV per atom
DOS(E_F)   24.105 states/eV/f.u.
Raw total energy   -268.68 eV/cell

---

[3]
Material: MnSb4
Method: DFT, GGA-PBE
State: relaxed

a b c (Å): 4.987 4.987 4.987
angles (deg): 90.00 90.00 90.00
Space group Pm-3m (No. 221)
One atom of each set of equivalent atoms:
Mn 0.000 0.000 0.000 x1
Sb 0.000 0.000 0.500 x3
Sb 0.500 0.500 0.500 x1

## Properties
Magnetic moment   0.0 μB per cell
Uncorrected formation energy   362 meV/atom
DOS(E_F)   2.108 states/eV/f.u.
Raw total energy   -23.85 eV/cell

---

[4]
Material: AcDy2Y5
Method: DFT, GGA-PBE
State: relaxed

a b c (Å): 11.709 12.528 7.269
angles (deg): 90.00 90.00 90.00
Space group Pbam (No. 55)
One atom of each set of equivalent atoms:
Ac 0.000 0.249 0.000 x4
Dy 0.000 0.000 0.256 x4
Dy 0.000 0.250 0.500 x4
Y 0.000 0.500 0.256 x4
Y 0.249 0.080 0.000 x4
Y 0.249 0.083 0.500 x4
Y 0.250 0.333 0.256 x8

## Properties
Magnetic moment   0.0 μB per cell
ΔH_f (0 K)   0.018 eV per atom
DOS(E_F)   12.428 states/eV/f.u.
Raw total energy   -181.97 eV/cell

---

[5]
Material: PuPaPb2
Method: DFT, GGA-PBE
State: relaxed

a b c (Å): 7.675 7.675 7.675
angles (deg): 90.00 90.00 90.00
Space group Fm-3m (No. 225)
One atom of each set of equivalent atoms:
Pu 0.000 0.000 0.000 x4
Pa 0.000 0.000 0.500 x4
Pb 0.250 0.250 0.250 x8

## Properties
Magnetic moment   31.8 μB per cell
ΔH_f (0 K)   0.095 eV per atom
DOS(E_F)   17.841 states/eV/f.u.
Raw total energy   -123.46 eV/cell

---

[6]
Material: Sr4Pa3VN8
Method: DFT, GGA-PBE
State: relaxed

a b c (Å): 7.0738 7.0738 17.8968
angles (deg): 90.00 90.00 120.00
Space group R-3m (No. 166, hexagonal axes)
One atom of each set of equivalent atoms:
Sr 0.0000 0.0000 0.0000 x3
Sr 0.0000 0.5000 0.0000 x9
Pa 0.0000 0.5000 0.5000 x9
V 0.0000 0.0000 0.5000 x3
N 0.0000 0.0000 0.2331 x6
N 0.0085 0.5043 0.7674 x18

## Properties
Magnetic moment   6.1 μB per cell
Uncorrected formation energy   -1191 meV/atom
DOS(E_F)   4.179 states/eV/f.u.
Raw total energy   -390.00 eV/cell

---

[7]
Material: PmHo5Sc
Method: DFT, GGA-PBE
State: relaxed

a b c (Å): 8.039 11.386 5.995
angles (deg): 90.00 90.00 90.00
Space group Imm2 (No. 44)
One atom of each set of equivalent atoms:
Pm 0.000 0.000 0.000 x2
Ho 0.000 0.000 0.527 x2
Ho 0.000 0.252 0.262 x4
Ho 0.176 0.500 0.758 x4
Sc 0.000 0.500 0.256 x2

## Properties
Magnetic moment   0.0 μB per cell
ΔH_f (0 K)   0.980 eV per atom
DOS(E_F)   9.470 states/eV/f.u.
Raw total energy   -54.23 eV/cell

---

[8]
Material: NiMo2P
Method: DFT, GGA-PBE
State: relaxed

a b c (Å): 3.005 4.255 8.364
angles (deg): 90.00 90.00 90.00
Space group Imm2 (No. 44)
One atom of each set of equivalent atoms:
Ni 0.000 0.000 0.000 x2
Mo 0.000 0.000 0.562 x2
Mo 0.000 0.500 0.774 x2
P 0.000 0.500 0.301 x2

## Properties
Magnetic moment   0.0 μB per cell
ΔH_f (0 K)   -0.236 eV per atom
DOS(E_F)   3.528 states/eV/f.u.
Raw total energy   -67.59 eV/cell

---

[9]
Material: K2BaAg2Cl7
Method: DFT, GGA-PBE
State: relaxed

a b c (Å): 7.374 7.297 13.510
angles (deg): 90.00 105.65 90.00
Space group C2/m (No. 12)
One atom of each set of equivalent atoms:
K 0.211 0.000 0.364 x4
Ba 0.000 0.000 0.000 x2
Ag 0.099 0.500 0.202 x4
Cl 0.000 0.500 0.000 x2
Cl 0.166 0.250 0.826 x8
Cl 0.184 0.500 0.400 x4

## Properties
Magnetic moment   0.0 μB per cell
Uncorrected formation energy   -1423 meV/atom
DOS(E_F)   5.092 states/eV/f.u.
Raw total energy   -79.65 eV/cell